First-principles (PBE+U) data for crystalline FeAsO2F at its relaxed geometry, as listed in Alexandria.

The total energy is -5.194 eV/atom. The crystal system is tetragonal. The density of states at the Fermi level is 2.20 states/eV per cell.

abc: 3.9698 3.9698 3.8705
angles: 90.00 90.00 90.00
Closest atoms and distances in Å follow each position.
Positions (direct):
1 Fe 0.0000 0.0000 0.0000  2 F 1.94, 4 O 1.98
2 As 0.5000 0.5000 0.5000  8 O 2.77, 4 F 2.81
3 O 0.0000 0.5000 0.0000  2 Fe 1.98
4 O 0.5000 0.0000 0.0000  2 Fe 1.98
5 F 0.0000 0.0000 0.5000  2 Fe 1.94